CoSiN2O | Alexandria | GGA+U | relaxed; E_tot = -4.623 eV per atom; spin magnetization = 3.01 μB/cell
1.0
-3.588 -1.683 0.025
0.754 -1.652 -3.009
1.453 -3.066 2.048
Si Co O N
1 1 1 2
Direct
0.500 0.500 0.500
0.000 0.500 0.000
0.000 0.000 0.000
0.000 0.000 0.500
0.500 0.000 0.000